VASP calculation (PBE) on a relaxed Dy9Er4Zn11 crystal.

DFT formation energy: -0.246 eV per atom
Crystal system: orthorhombic

Lattice parameters (Å, degrees): 3.437 13.042 13.042 107.66 90.00 90.00
Fractional positions:
Zn 0.000 0.781 0.781
Dy 0.500 0.977 0.795
Zn 0.000 0.825 0.175
Dy 0.500 0.023 0.205
Dy 0.500 0.377 0.851
Zn 0.000 0.175 0.825
Dy 0.500 0.149 0.623
Dy 0.500 0.500 0.500
Zn 0.000 0.630 0.370
Zn 0.000 0.370 0.630
Zn 0.000 0.219 0.219
Zn 0.000 0.946 0.583
Dy 0.500 0.205 0.023
Dy 0.500 0.795 0.977
Dy 0.500 0.623 0.149
Zn 0.000 0.000 0.000
Zn 0.000 0.583 0.946
Er 0.500 0.755 0.582
Er 0.500 0.245 0.418
Zn 0.000 0.417 0.054
Er 0.500 0.582 0.755
Er 0.500 0.418 0.245
Dy 0.500 0.851 0.377
Zn 0.000 0.054 0.417



VASP calculation (PBE) on a relaxed TbTmRh crystal.

DFT formation energy: -0.651 eV per atom
Crystal system: orthorhombic

Lattice parameters (Å, degrees): 3.810 6.190 6.565 90.00 90.00 107.92
Fractional positions:
Tm 0.500 0.000 0.000
Tb 0.785 0.569 0.250
Rh 0.115 0.230 0.250
Rh 0.885 0.770 0.750
Tm 0.500 0.000 0.500
Tb 0.215 0.431 0.750



VASP calculation (PBE) on a relaxed SrAlSb4 crystal.

Energy relative to the elements, uncorrected: -38 meV/atom
Crystal system: cubic

Lattice parameters (Å, degrees): 6.351 6.351 6.351 60.00 60.00 60.00
Fractional positions:
Sb 0.374 0.374 0.374
Sb 0.374 0.374 0.879
Al 0.000 0.000 0.000
Sb 0.879 0.374 0.374
Sb 0.374 0.879 0.374
Sr 0.750 0.750 0.750



VASP calculation (PBE) on a relaxed TaSi2Mo crystal.

Energy relative to the elements, uncorrected: -128 meV/atom
Crystal system: orthorhombic

Lattice parameters (Å, degrees): 2.891 2.891 7.634 90.00 90.00 107.71
Fractional positions:
Si 0.000 0.000 0.992
Si 0.000 0.000 0.508
Ta 0.500 0.500 0.250
Mo 0.500 0.500 0.750



VASP calculation (PBE) on a relaxed Nd10SmY4 crystal.

DFT formation energy: 0.715 eV per atom
Crystal system: tetragonal

Lattice parameters (Å, degrees): 7.858 9.638 9.638 80.43 65.94 65.94
Fractional positions:
Nd 0.450 0.899 0.700
Nd 0.050 0.101 0.300
Nd 0.650 0.300 0.899
Nd 0.550 0.101 0.300
Y 0.200 0.400 0.199
Y 0.800 0.600 0.801
Nd 0.850 0.700 0.101
Y 0.600 0.199 0.600
Sm 0.000 0.000 0.000
Nd 0.350 0.700 0.101
Nd 0.250 0.500 0.500
Nd 0.750 0.500 0.500
Y 0.400 0.801 0.400
Nd 0.950 0.899 0.700
Nd 0.150 0.300 0.899



VASP calculation (PBE) on a relaxed SrLiHPd2 crystal.

VASP energy: -19.0 eV per cell
Crystal system: tetragonal

Lattice parameters (Å, degrees): 4.280 4.280 4.325 90.00 90.00 90.00
Fractional positions:
Sr 0.500 0.500 0.500
Li 0.000 0.000 0.500
H 0.000 0.000 0.000
Pd 0.500 0.000 0.000
Pd 0.000 0.500 0.000



VASP calculation (PBE) on a relaxed Tb2Fe2Co15 crystal.

DFT formation energy: -0.109 eV per atom
Crystal system: trigonal

Lattice parameters (Å, degrees): 6.275 6.275 6.275 83.10 83.10 83.10
Fractional positions:
Co 0.000 0.711 0.289
Co 0.654 0.151 0.654
Fe 0.098 0.098 0.098
Fe 0.902 0.902 0.902
Co 0.289 0.711 0.000
Co 0.711 0.000 0.289
Co 0.000 0.289 0.711
Co 0.289 0.000 0.711
Tb 0.655 0.655 0.655
Co 0.346 0.849 0.346
Co 0.711 0.289 0.000
Co 0.151 0.654 0.654
Co 0.000 0.500 0.000
Co 0.346 0.346 0.849
Co 0.500 0.000 0.000
Co 0.849 0.346 0.346
Tb 0.345 0.345 0.345
Co 0.000 0.000 0.500
Co 0.654 0.654 0.151



VASP calculation (PBE) on a relaxed SmNp4O12 crystal.

Energy relative to the elements, uncorrected: -2955 meV/atom
Crystal system: tetragonal

Lattice parameters (Å, degrees): 7.157 7.157 7.157 108.70 111.06 108.67
Fractional positions:
O 0.189 0.734 0.923
O 0.711 0.922 0.211
O 0.289 0.078 0.789
O 0.423 0.735 0.689
Np 0.500 0.000 0.000
O 0.189 0.266 0.455
O 0.711 0.500 0.789
O 0.811 0.734 0.545
Np 0.000 0.000 0.500
O 0.577 0.265 0.311
Np 0.500 0.500 0.500
O 0.046 0.735 0.311
O 0.289 0.500 0.211
O 0.954 0.265 0.689
Np 0.000 0.500 0.000
O 0.811 0.266 0.077
Sm 0.000 0.500 0.500



VASP calculation (PBE) on a relaxed Pr2NdZn2 crystal.

DFT formation energy: -0.155 eV per atom
Crystal system: monoclinic

Lattice parameters (Å, degrees): 4.457 4.695 13.683 100.49 90.00 90.00
Fractional positions:
Nd 0.250 0.633 0.269
Zn 0.750 0.163 0.335
Pr 0.750 0.056 0.110
Zn 0.250 0.837 0.665
Pr 0.250 0.266 0.529
Zn 0.750 0.474 0.953
Pr 0.750 0.734 0.471
Pr 0.250 0.944 0.890
Nd 0.750 0.367 0.731
Zn 0.250 0.526 0.047



VASP calculation (PBE) on a relaxed HfH2N crystal.

VASP energy: -25.1 eV per cell
Crystal system: cubic

Lattice parameters (Å, degrees): 3.443 3.443 3.443 60.00 60.00 60.00
Fractional positions:
H 0.750 0.750 0.750
N 0.000 0.000 0.000
H 0.250 0.250 0.250
Hf 0.500 0.500 0.500



VASP calculation (PBE) on a relaxed Rb2FeIBr6 crystal.

Energy relative to the elements, uncorrected: -807 meV/atom
Crystal system: tetragonal

Lattice parameters (Å, degrees): 7.953 7.953 8.188 60.94 60.94 90.00
Fractional positions:
Fe 0.500 0.500 0.000
Rb 0.750 0.250 0.500
Br 0.730 0.730 0.000
Br 0.270 0.730 0.000
Br 0.295 0.295 0.410
Rb 0.250 0.750 0.500
I 0.000 0.000 0.000
Br 0.730 0.270 0.000
Br 0.270 0.270 0.000
Br 0.705 0.705 0.590



VASP calculation (PBE) on a relaxed Y3CdO crystal.

Energy relative to the elements, uncorrected: -824 meV/atom
Crystal system: hexagonal

Lattice parameters (Å, degrees): 5.340 5.340 9.337 90.00 90.00 120.00
Fractional positions:
Y 0.333 0.667 0.077
Y 0.667 0.333 0.577
Cd 0.667 0.333 0.250
O 0.000 0.000 0.500
Y 0.667 0.333 0.923
Y 0.333 0.667 0.423
O 0.000 0.000 0.000
Cd 0.333 0.667 0.750
Y 0.000 0.000 0.750
Y 0.000 0.000 0.250



no.,DOS at the Fermi energy (states/eV per cell)
1,25.5
2,5.3
3,4.1
4,2.0
5,22.6
6,0.9
7,19.1
8,16.2
9,10.7
10,2.1
11,9.0
12,6.2